Material: Cs2InCoO4
Method: DFT, PBE+U
State: relaxed

For the total energy, the calculation gives -4.872 eV/atom.

The space group is Fddd (No. 70, origin choice 2) and the conventional cell measures 5.448, 12.858 and 22.441 Å, with angles of 90.00, 90.00 and 90.00 degrees. Symmetry generates all atoms from Cs at (0.125, 0.125, 0.303), In at (0.125, 0.125, 0.125), Co at (0.125, 0.125, 0.625) and O at (0.099, 0.288, 0.834).